Below is Nd8Si3Te3S after structural relaxation, with properties calculated at the GGA-PBE level.

```
Nd8Si3Te3S
1.0
4.291 2.478 7.293
-4.291 2.478 7.293
0.000 -4.955 7.293
Nd Si Te S
8 3 3 1
Direct
0.241 0.241 0.241
0.241 0.738 0.738
0.262 0.262 0.759
0.262 0.759 0.262
0.738 0.241 0.738
0.738 0.738 0.241
0.759 0.262 0.262
0.759 0.759 0.759
0.000 0.000 0.500
0.000 0.500 0.000
0.500 0.000 0.000
0.000 0.500 0.500
0.500 0.000 0.500
0.500 0.500 0.000
0.500 0.500 0.500
```

* E_form (uncorrected): -1.129 eV/atom
* crystal system: trigonal